## Ba2ScP (PBE)

Data for Ba2ScP after structural relaxation.

Calculated values
SG	P4/mmm (123)
calculated total energy	-4.08	eV/atom
energy of formation from the pure elements	-0.18	eV/atom
density of states at the Fermi level	4.2	states/eV/f.u.
crystal system	tetragonal

Cell: 3.980 3.980 9.150 Å, 90.00 90.00 90.00°
Last column: magnetic moment on the atom in μB.
Fractional positions:
Ba (0.000, 0.000, 0.814)  0.06
Ba (0.000, 0.000, 0.186)  0.06
Sc (0.500, 0.500, 0.500)  0.84
P (0.500, 0.500, 0.000)  -0.01